12
Lattice="4.887 0.000 0.000 -2.443 4.232 0.000 0.000 0.000 7.751" Properties=species:S:1:pos:R:3 comment="BaMnP2O8 | the Alexandria database | GGA+U | optimized geometry" energy_ev_per_cell=-86.9 pbc="T T T"
Ba 0.000 0.000 0.000
Mn 0.000 0.000 3.875
P 0.000 2.821 5.509
P 2.443 1.411 2.242
O -0.534 1.433 5.045
O -0.935 3.978 5.045
O 0.000 2.821 7.043
O 0.974 1.179 2.706
O 1.469 3.053 5.045
O 2.443 1.411 0.707
O 3.378 0.254 2.706
O 2.977 2.799 2.706